This record from Alexandria describes crystalline PrSm2Y4Sc at its relaxed geometry. The functional is GGA-PBE.

Geometry as POSCAR:
```
PrSm2Y4Sc
1.0
-3.4024 5.8931 6.5866
3.4024 -5.8931 6.5866
3.4024 5.8931 -6.5866
Pr Sm Y Sc
2 4 8 2
Cartesian
0.0000 0.0000 0.0000 Pr
0.0000 5.8931 0.0000 Pr
3.4024 0.0000 0.0000 Sm
-1.7012 2.9466 3.2933 Sm
0.0000 0.0000 6.5866 Sm
1.7012 2.9466 3.2933 Sm
3.4024 -0.1713 3.2894 Y
3.4024 5.7218 -3.2894 Y
1.7056 2.9466 -0.1752 Y
5.0993 2.9466 -0.1752 Y
-1.6968 2.9466 6.7618 Y
1.6968 2.9466 6.7618 Y
0.0000 0.1713 9.8759 Y
0.0000 6.0645 3.2972 Y
1.7012 2.9466 -3.2933 Sc
1.7012 -2.9466 3.2933 Sc
```

E_form = 321 kJ/mol of formula units
VASP energy = -5.384 eV/atom